{
  "formula": "Pr2Ga3SbPd4",
  "functional": "PBE",
  "state": "optimized geometry",
  "cell": [[4.369, 0.000, 0.000], [0.000, 4.369, 0.000], [0.000, 0.000, 10.700]],
  "species": ["Pr", "Pr", "Ga", "Ga", "Ga", "Sb", "Pd", "Pd", "Pd", "Pd"],
  "frac_coords": [[0.500, 0.000, 0.242], [0.000, 0.500, 0.758], [0.000, 0.000, 0.500], [0.500, 0.000, 0.877], [0.000, 0.500, 0.123], [0.500, 0.500, 0.500], [0.500, 0.500, 0.000], [0.000, 0.000, 0.000], [0.500, 0.000, 0.644], [0.000, 0.500, 0.356]],
  "magmom_total_mub_per_cell": 0.000,
  "raw_formation_energy_mev_per_atom": -796.8,
  "energy_ev_per_atom": -5.150
}